Entry 1:
An optimized crystal structure of InAuSe2, computed with PBE-GGA.

The calculation puts the uncorrected formation energy at 0.189 eV per atom. For the final energy, the calculation gives -0.225 Ry/atom.

It has space group P4/mmm (No. 123), with a = 5.482 Å, b = 5.482 Å, c = 2.955 Å, α = 90.00°, β = 90.00° and γ = 90.00°. The distinct sites, in fractional coordinates, are In at (0.000, 0.000, 0.000), Au at (0.500, 0.500, 0.000) and Se at (0.000, 0.500, 0.500).

Entry 2:
An optimized crystal structure of InAuSe2, computed with PBE-GGA.

The calculation puts the uncorrected formation energy at 0.219 eV per atom. For the final energy, the calculation gives -0.222 Ry/atom.

It has space group P4/mmm (No. 123), with a = 3.431 Å, b = 3.431 Å, c = 7.409 Å, α = 90.00°, β = 90.00° and γ = 90.00°. The distinct sites, in fractional coordinates, are In at (0.000, 0.000, 0.000), Au at (0.000, 0.000, 0.500) and Se at (0.500, 0.500, 0.260).

Entry 3:
An optimized crystal structure of In2Au2Se, computed with PBE-GGA.

The calculation puts the uncorrected formation energy at -0.099 eV per atom. The energy above the most stable polymorph in this dataset is 0.0266 eV per atom. For the final energy, the calculation gives -0.235 Ry/atom.

It has space group P4/mbm (No. 127), with a = 7.497 Å, b = 7.497 Å, c = 4.018 Å, α = 90.00°, β = 90.00° and γ = 90.00°. The distinct sites, in fractional coordinates, are In at (0.170, 0.330, 0.000), Au at (0.134, 0.634, 0.500) and Se at (0.000, 0.000, 0.500).

Entry 4:
An optimized crystal structure of In2Au2Se, computed with PBE-GGA.

The calculation puts the uncorrected formation energy at -0.075 eV per atom. The energy above the most stable polymorph in this dataset is 0.0506 eV per atom. For the final energy, the calculation gives -0.234 Ry/atom.

It has space group P4/mbm (No. 127), with a = 8.621 Å, b = 8.621 Å, c = 2.981 Å, α = 90.00°, β = 90.00° and γ = 90.00°. The distinct sites, in fractional coordinates, are In at (0.190, 0.310, 0.000), Au at (0.113, 0.613, 0.500) and Se at (0.000, 0.000, 0.000).

Entry 5:
An optimized crystal structure of InAu4Se, computed with PBE-GGA.

The calculation puts the uncorrected formation energy at 0.062 eV per atom. For the final energy, the calculation gives -0.232 Ry/atom.

It has space group F-43m (No. 216), with a = 7.929 Å, b = 7.929 Å, c = 7.929 Å, α = 90.00°, β = 90.00° and γ = 90.00°. The distinct sites, in fractional coordinates, are In at (0.000, 0.000, 0.000), Au at (0.125, 0.125, 0.375) and Se at (0.250, 0.250, 0.750).

Entry 6:
An optimized crystal structure of InAuSe2, computed with PBE-GGA.

The calculation puts the uncorrected formation energy at -0.332 eV per atom. For the final energy, the calculation gives -0.263 Ry/atom.

It has space group P-1 (No. 2), with a = 4.296 Å, b = 6.925 Å, c = 8.049 Å, α = 87.55°, β = 87.31° and γ = 88.58°. The distinct sites, in fractional coordinates, are In at (0.064, 0.332, 0.328), Au at (0.370, 0.945, 0.272), Se at (0.061, 0.278, 0.656) and Se at (0.416, 0.748, 0.852).

Entry 7:
An optimized crystal structure of InAuSe, computed with PBE-GGA.

The calculation puts the uncorrected formation energy at 0.013 eV per atom. For the final energy, the calculation gives -0.232 Ry/atom.

It has space group Fmm2 (No. 42), with a = 3.983 Å, b = 6.546 Å, c = 11.352 Å, α = 90.00°, β = 90.00° and γ = 90.00°. The distinct sites, in fractional coordinates, are In at (0.000, 0.000, 0.000), Au at (0.000, 0.000, 0.667) and Se at (0.000, 0.000, 0.332).

Entry 8:
An optimized crystal structure of InAuSe2, computed with PBE-GGA.

The calculation puts the uncorrected formation energy at -0.295 eV per atom. For the final energy, the calculation gives -0.260 Ry/atom.

It has space group Pnma (No. 62), with a = 7.639 Å, b = 3.968 Å, c = 16.436 Å, α = 90.00°, β = 90.00° and γ = 90.00°. The distinct sites, in fractional coordinates, are In at (0.102, 0.250, 0.094), Au at (0.038, 0.750, 0.385), Se at (0.161, 0.250, 0.934) and Se at (0.248, 0.250, 0.680).

Entry 9:
An optimized crystal structure of InAu3Se, computed with PBE-GGA.

The calculation puts the uncorrected formation energy at 0.309 eV per atom. The energy above the most stable polymorph in this dataset is 0.0000 eV per atom. For the final energy, the calculation gives -0.213 Ry/atom.

It has space group Pm-3m (No. 221), with a = 5.111 Å, b = 5.111 Å, c = 5.111 Å, α = 90.00°, β = 90.00° and γ = 90.00°. The distinct sites, in fractional coordinates, are In at (0.000, 0.000, 0.000), Au at (0.000, 0.500, 0.500) and Se at (0.500, 0.500, 0.500).

Entry 10:
An optimized crystal structure of In2Au2Se, computed with PBE-GGA.

The calculation puts the uncorrected formation energy at -0.126 eV per atom. The energy above the most stable polymorph in this dataset is 0.0000 eV per atom. For the final energy, the calculation gives -0.237 Ry/atom.

It has space group I4/mmm (No. 139), with a = 3.874 Å, b = 3.874 Å, c = 15.573 Å, α = 90.00°, β = 90.00° and γ = 90.00°. The distinct sites, in fractional coordinates, are In at (0.000, 0.000, 0.100), Au at (0.000, 0.500, 0.250) and Se at (0.000, 0.000, 0.500).

Entry 11:
An optimized crystal structure of InAuSe2, computed with PBE-GGA.

The calculation puts the uncorrected formation energy at -0.283 eV per atom. For the final energy, the calculation gives -0.259 Ry/atom.

It has space group P2_1/c (No. 14), with a = 7.335 Å, b = 4.215 Å, c = 15.212 Å, α = 90.00°, β = 110.39° and γ = 90.00°. The distinct sites, in fractional coordinates, are In at (0.170, 0.179, 0.197), Au at (0.447, 0.607, 0.864), Se at (0.204, 0.021, 0.862) and Se at (0.236, 0.660, 0.100).

Entry 12:
An optimized crystal structure of InAuSe2, computed with PBE-GGA.

The calculation puts the uncorrected formation energy at -0.303 eV per atom. For the final energy, the calculation gives -0.261 Ry/atom.

It has space group C2 (No. 5), with a = 12.143 Å, b = 6.822 Å, c = 7.753 Å, α = 90.00°, β = 127.78° and γ = 90.00°. The distinct sites, in fractional coordinates, are In at (0.141, 0.000, 0.275), Au at (0.155, 0.384, 0.107), Se at (0.133, 0.067, 0.923) and Se at (0.137, 0.613, 0.340).

Entry 13:
An optimized crystal structure of InAuSe4, computed with PBE-GGA.

The calculation puts the uncorrected formation energy at 0.459 eV per atom. For the final energy, the calculation gives -0.211 Ry/atom.

It has space group F-43m (No. 216), with a = 8.238 Å, b = 8.238 Å, c = 8.238 Å, α = 90.00°, β = 90.00° and γ = 90.00°. The distinct sites, in fractional coordinates, are In at (0.000, 0.000, 0.000), Au at (0.250, 0.250, 0.250) and Se at (0.124, 0.124, 0.624).

Entry 14:
An optimized crystal structure of InAuSe2, computed with PBE-GGA.

The calculation puts the uncorrected formation energy at 0.248 eV per atom. For the final energy, the calculation gives -0.220 Ry/atom.

It has space group Cmm2 (No. 35), with a = 3.837 Å, b = 4.853 Å, c = 9.822 Å, α = 90.00°, β = 90.00° and γ = 90.00°. The distinct sites, in fractional coordinates, are In at (0.000, 0.000, 0.000), Au at (0.000, 0.500, 0.215), Se at (0.000, 0.000, 0.433) and Se at (0.000, 0.500, 0.771).

Entry 15:
An optimized crystal structure of InAuSe, computed with PBE-GGA.

The calculation puts the uncorrected formation energy at -0.218 eV per atom. For the final energy, the calculation gives -0.249 Ry/atom.

It has space group C2/m (No. 12), with a = 13.150 Å, b = 4.215 Å, c = 6.033 Å, α = 90.00°, β = 112.88° and γ = 90.00°. The distinct sites, in fractional coordinates, are In at (0.132, 0.000, 0.329), Au at (0.136, 0.500, 0.623) and Se at (0.104, 0.000, 0.859).

Entry 16:
An optimized crystal structure of InAuSe, computed with PBE-GGA.

The calculation puts the uncorrected formation energy at 0.067 eV per atom. For the final energy, the calculation gives -0.228 Ry/atom.

It has space group Imm2 (No. 44), with a = 2.895 Å, b = 3.937 Å, c = 11.661 Å, α = 90.00°, β = 90.00° and γ = 90.00°. The distinct sites, in fractional coordinates, are In at (0.000, 0.000, 0.000), Au at (0.000, 0.000, 0.348) and Se at (0.000, 0.000, 0.680).

Entry 17:
An optimized crystal structure of InAuSe2, computed with PBE-GGA.

The calculation puts the uncorrected formation energy at -0.369 eV per atom. For the final energy, the calculation gives -0.266 Ry/atom.

It has space group P2_1 (No. 4), with a = 5.915 Å, b = 5.929 Å, c = 6.626 Å, α = 90.00°, β = 90.16° and γ = 90.00°. The distinct sites, in fractional coordinates, are In at (0.250, 0.000, 0.000), Au at (0.249, 0.500, 0.707), Se at (0.041, 0.290, 0.250) and Se at (0.461, 0.710, 0.250).

Entry 18:
An optimized crystal structure of InAuSe2, computed with PBE-GGA.

The calculation puts the uncorrected formation energy at -0.163 eV per atom. For the final energy, the calculation gives -0.251 Ry/atom.

It has space group Cmcm (No. 63), with a = 3.936 Å, b = 24.271 Å, c = 4.247 Å, α = 90.00°, β = 90.00° and γ = 90.00°. The distinct sites, in fractional coordinates, are In at (0.000, 0.180, 0.250), Au at (0.000, 0.463, 0.250), Se at (0.000, 0.296, 0.250) and Se at (0.000, 0.408, 0.750).

Entry 19:
An optimized crystal structure of InSnAu2Se4, computed with PBE-GGA.

The calculation puts the uncorrected formation energy at -0.207 eV per atom. For the final energy, the calculation gives -0.265 Ry/atom.

It has space group I-4 (No. 82), with a = 6.170 Å, b = 6.170 Å, c = 12.396 Å, α = 90.00°, β = 90.00° and γ = 90.00°. The distinct sites, in fractional coordinates, are In at (0.000, 0.000, 0.000), Sn at (0.000, 0.500, 0.750), Au at (0.000, 0.000, 0.500), Au at (0.000, 0.500, 0.250) and Se at (0.239, 0.742, 0.378).

Entry 20:
An optimized crystal structure of Tl2InAuSe, computed with PBE-GGA.

The calculation puts the uncorrected formation energy at 0.000 eV per atom. For the final energy, the calculation gives -0.209 Ry/atom.

It has space group P4/mmm (No. 123), with a = 5.530 Å, b = 5.530 Å, c = 5.285 Å, α = 90.00°, β = 90.00° and γ = 90.00°. The distinct sites, in fractional coordinates, are Tl at (0.000, 0.500, 0.000), In at (0.000, 0.000, 0.500), Au at (0.000, 0.000, 0.000) and Se at (0.500, 0.500, 0.500).